The following is a DFT calculation (PBE) of a geometry-optimized SiSe2BrF structure.

Cell lengths 4.357, 4.357, 5.854 Å; angles 90.00, 90.00, 90.00 degrees
Fractional coordinates of all 5 atoms:
Br: 0.000 0.000 0.500
Si: 0.500 0.500 0.500
F: 0.000 0.000 0.000
Se: 0.000 0.500 0.000
Se: 0.500 0.000 0.000

The density of states at the Fermi level is 3.56 states/eV per cell. Its calculated total energy is -2.80 eV per atom. The offset from the most stable computed form comes out at 0.198 eV/atom. The value obtained for the uncorrected formation energy is 0.3919 eV per atom.

The following is a DFT calculation (PBE) of a geometry-optimized SiSe2BrF structure.

Cell lengths 4.815, 4.815, 4.971 Å; angles 90.00, 90.00, 90.00 degrees
Fractional coordinates of all 5 atoms:
F: 0.500 0.500 0.500
Se: 0.500 0.000 0.000
Se: 0.000 0.500 0.000
Br: 0.000 0.000 0.500
Si: 0.000 0.000 0.000

The density of states at the Fermi level is 6.00 states/eV per cell. Its calculated total energy is -2.99 eV per atom. The offset from the most stable computed form comes out at 0.000 eV/atom. The value obtained for the uncorrected formation energy is 0.1938 eV per atom.

The following is a DFT calculation (PBE) of a geometry-optimized SnSe2BrF structure.

Cell lengths 5.392, 5.392, 5.425 Å; angles 90.00, 90.00, 90.00 degrees
Fractional coordinates of all 5 atoms:
Se: 0.500 0.000 0.000
Se: 0.000 0.500 0.000
F: 0.500 0.500 0.500
Br: 0.000 0.000 0.500
Sn: 0.000 0.000 0.000

The density of states at the Fermi level is 7.24 states/eV per cell. Its calculated total energy is -2.72 eV per atom. The offset from the most stable computed form comes out at 0.285 eV/atom. The value obtained for the uncorrected formation energy is 0.1877 eV per atom.

The following is a DFT calculation (PBE) of a geometry-optimized SnSeBr2F structure.

Cell lengths 5.679, 5.679, 3.961 Å; angles 90.00, 90.00, 90.00 degrees
Fractional coordinates of all 5 atoms:
Br: 0.000 0.500 0.000
Br: 0.500 0.000 0.000
Sn: 0.500 0.500 0.500
F: 0.000 0.000 0.000
Se: 0.000 0.000 0.500

The density of states at the Fermi level is 2.53 states/eV per cell. Its calculated total energy is -2.72 eV per atom. The offset from the most stable computed form comes out at 0.000 eV/atom. The value obtained for the uncorrected formation energy is -0.1761 eV per atom.

The following is a DFT calculation (PBE) of a geometry-optimized SnSeBr2F structure.

Cell lengths 5.398, 5.398, 5.522 Å; angles 90.00, 90.00, 90.00 degrees
Fractional coordinates of all 5 atoms:
Sn: 0.000 0.000 0.000
F: 0.500 0.500 0.500
Se: 0.000 0.000 0.500
Br: 0.500 0.000 0.000
Br: 0.000 0.500 0.000

The density of states at the Fermi level is 7.26 states/eV per cell. Its calculated total energy is -2.60 eV per atom. The offset from the most stable computed form comes out at 0.118 eV/atom. The value obtained for the uncorrected formation energy is -0.0585 eV per atom.

The following is a DFT calculation (PBE) of a geometry-optimized SnSe2BrF structure.

Cell lengths 4.452, 4.452, 5.980 Å; angles 90.00, 90.00, 90.00 degrees
Fractional coordinates of all 5 atoms:
Br: 0.000 0.000 0.500
F: 0.000 0.000 0.000
Se: 0.500 0.000 0.000
Se: 0.000 0.500 0.000
Sn: 0.500 0.500 0.500

The density of states at the Fermi level is 3.10 states/eV per cell. Its calculated total energy is -3.00 eV per atom. The offset from the most stable computed form comes out at 0.000 eV/atom. The value obtained for the uncorrected formation energy is -0.0976 eV per atom.

The following is a DFT calculation (PBE) of a geometry-optimized SrSeBr2F structure.

Cell lengths 5.656, 5.656, 4.067 Å; angles 90.00, 90.00, 90.00 degrees
Fractional coordinates of all 5 atoms:
Br: 0.000 0.500 0.000
Br: 0.500 0.000 0.000
F: 0.000 0.000 0.000
Sr: 0.500 0.500 0.500
Se: 0.000 0.000 0.500

The density of states at the Fermi level is 2.80 states/eV per cell. Its calculated total energy is -3.10 eV per atom. The offset from the most stable computed form comes out at 0.000 eV/atom. The value obtained for the uncorrected formation energy is -1.0255 eV per atom.

The following is a DFT calculation (PBE) of a geometry-optimized SrSeBr2F structure.

Cell lengths 5.898, 5.898, 6.539 Å; angles 90.00, 90.00, 90.00 degrees
Fractional coordinates of all 5 atoms:
Br: 0.500 0.000 0.000
Br: 0.000 0.500 0.000
Se: 0.000 0.000 0.500
Sr: 0.000 0.000 0.000
F: 0.500 0.500 0.500

The density of states at the Fermi level is 7.50 states/eV per cell. Its calculated total energy is -2.68 eV per atom. The offset from the most stable computed form comes out at 0.419 eV/atom. The value obtained for the uncorrected formation energy is -0.6062 eV per atom.

The following is a DFT calculation (PBE) of a geometry-optimized Sr2SeBr2F structure.

Cell lengths 5.689, 7.875, 8.896 Å; angles 116.27, 108.65, 90.00 degrees
Fractional coordinates of all 12 atoms:
Br: 0.310 0.140 0.619
Br: 0.190 0.521 0.381
Br: 0.690 0.860 0.381
Br: 0.810 0.479 0.619
Sr: 0.104 0.791 0.207
Sr: 0.896 0.209 0.793
Sr: 0.604 0.416 0.207
Sr: 0.396 0.584 0.793
Se: 0.750 0.000 0.000
Se: 0.250 0.000 0.000
F: 0.750 0.500 0.000
F: 0.250 0.500 0.000

The density of states at the Fermi level is 2.33 states/eV per cell. Its calculated total energy is -4.36 eV per atom. The value obtained for the uncorrected formation energy is -2.3457 eV per atom.

The following is a DFT calculation (PBE) of a geometry-optimized TaSe2BrF structure.

Cell lengths 4.379, 4.379, 5.268 Å; angles 90.00, 90.00, 90.00 degrees
Fractional coordinates of all 5 atoms:
Se: 0.000 0.500 0.000
Se: 0.500 0.000 0.000
Ta: 0.500 0.500 0.500
F: 0.000 0.000 0.000
Br: 0.000 0.000 0.500

The density of states at the Fermi level is 4.29 states/eV per cell. Its calculated total energy is -3.83 eV per atom. The offset from the most stable computed form comes out at 1.004 eV/atom. The value obtained for the uncorrected formation energy is 0.6466 eV per atom.

The following is a DFT calculation (PBE) of a geometry-optimized TaSe2BrF structure.

Cell lengths 4.962, 4.962, 5.138 Å; angles 90.00, 90.00, 90.00 degrees
Fractional coordinates of all 5 atoms:
Se: 0.000 0.500 0.000
Se: 0.500 0.000 0.000
F: 0.500 0.500 0.500
Br: 0.000 0.000 0.500
Ta: 0.000 0.000 0.000

The density of states at the Fermi level is 7.15 states/eV per cell. Its calculated total energy is -4.83 eV per atom. The offset from the most stable computed form comes out at 0.000 eV/atom. The value obtained for the uncorrected formation energy is -0.3571 eV per atom.

The following is a DFT calculation (PBE) of a geometry-optimized Tc2SeBrF structure.

Cell lengths 4.302, 5.197, 4.302 Å; angles 90.00, 90.00, 90.00 degrees
Fractional coordinates of all 5 atoms:
Se: 0.500 0.500 0.500
Tc: 0.000 0.000 0.500
Tc: 0.500 0.000 0.000
F: 0.000 0.000 0.000
Br: 0.000 0.500 0.000

The density of states at the Fermi level is 4.87 states/eV per cell. Its calculated total energy is -4.61 eV per atom. The value obtained for the uncorrected formation energy is 0.9415 eV per atom.

The following is a DFT calculation (PBE) of a geometry-optimized TeSeBr2F structure.

Cell lengths 5.501, 5.501, 5.432 Å; angles 90.00, 90.00, 90.00 degrees
Fractional coordinates of all 5 atoms:
Br: 0.500 0.000 0.000
Br: 0.000 0.500 0.000
F: 0.500 0.500 0.500
Se: 0.000 0.000 0.500
Te: 0.000 0.000 0.000

The density of states at the Fermi level is 10.25 states/eV per cell. Its calculated total energy is -2.23 eV per atom. The offset from the most stable computed form comes out at 0.000 eV/atom. The value obtained for the uncorrected formation energy is 0.1396 eV per atom.

The following is a DFT calculation (PBE) of a geometry-optimized TeSeBr2F structure.

Cell lengths 5.742, 5.742, 3.877 Å; angles 90.00, 90.00, 90.00 degrees
Fractional coordinates of all 5 atoms:
Se: 0.000 0.000 0.500
F: 0.000 0.000 0.000
Br: 0.000 0.500 0.000
Br: 0.500 0.000 0.000
Te: 0.500 0.500 0.500

The density of states at the Fermi level is 4.86 states/eV per cell. Its calculated total energy is -2.13 eV per atom. The offset from the most stable computed form comes out at 0.097 eV/atom. The value obtained for the uncorrected formation energy is 0.2364 eV per atom.

The following is a DFT calculation (PBE) of a geometry-optimized TeSe2BrF structure.

Cell lengths 5.407, 5.407, 5.521 Å; angles 90.00, 90.00, 90.00 degrees
Fractional coordinates of all 5 atoms:
Se: 0.000 0.500 0.000
Se: 0.500 0.000 0.000
Te: 0.000 0.000 0.000
Br: 0.000 0.000 0.500
F: 0.500 0.500 0.500

The density of states at the Fermi level is 14.85 states/eV per cell. Its calculated total energy is -2.36 eV per atom. The offset from the most stable computed form comes out at 0.063 eV/atom. The value obtained for the uncorrected formation energy is 0.3676 eV per atom.

The following is a DFT calculation (PBE) of a geometry-optimized TeSe2BrF structure.

Cell lengths 4.431, 4.431, 5.900 Å; angles 90.00, 90.00, 90.00 degrees
Fractional coordinates of all 5 atoms:
Br: 0.000 0.000 0.500
Te: 0.500 0.500 0.500
F: 0.000 0.000 0.000
Se: 0.000 0.500 0.000
Se: 0.500 0.000 0.000

The density of states at the Fermi level is 4.38 states/eV per cell. Its calculated total energy is -2.43 eV per atom. The offset from the most stable computed form comes out at 0.000 eV/atom. The value obtained for the uncorrected formation energy is 0.3044 eV per atom.

The following is a DFT calculation (PBE) of a geometry-optimized TiSe2BrF structure.

Cell lengths 4.348, 4.348, 5.519 Å; angles 90.00, 90.00, 90.00 degrees
Fractional coordinates of all 5 atoms:
F: 0.000 0.000 0.000
Se: 0.500 0.000 0.000
Se: 0.000 0.500 0.000
Br: 0.000 0.000 0.500
Ti: 0.500 0.500 0.500

The density of states at the Fermi level is 7.64 states/eV per cell. Its calculated total energy is -3.52 eV per atom. The offset from the most stable computed form comes out at 0.647 eV/atom. The value obtained for the uncorrected formation energy is 0.1581 eV per atom.

The following is a DFT calculation (PBE) of a geometry-optimized TiSe2BrF structure.

Cell lengths 4.888, 4.888, 5.001 Å; angles 90.00, 90.00, 90.00 degrees
Fractional coordinates of all 5 atoms:
Ti: 0.000 0.000 0.000
Br: 0.000 0.000 0.500
Se: 0.500 0.000 0.000
Se: 0.000 0.500 0.000
F: 0.500 0.500 0.500

The density of states at the Fermi level is 9.11 states/eV per cell. Its calculated total energy is -4.17 eV per atom. The offset from the most stable computed form comes out at 0.000 eV/atom. The value obtained for the uncorrected formation energy is -0.4889 eV per atom.

The following is a DFT calculation (PBE) of a geometry-optimized TlSe2BrF structure.

Cell lengths 5.588, 5.588, 5.524 Å; angles 90.00, 90.00, 90.00 degrees
Fractional coordinates of all 5 atoms:
Br: 0.000 0.000 0.500
F: 0.500 0.500 0.500
Tl: 0.000 0.000 0.000
Se: 0.500 0.000 0.000
Se: 0.000 0.500 0.000

The density of states at the Fermi level is 4.73 states/eV per cell. Its calculated total energy is -2.19 eV per atom. The offset from the most stable computed form comes out at 0.473 eV/atom. The value obtained for the uncorrected formation energy is 0.3818 eV per atom.

The following is a DFT calculation (PBE) of a geometry-optimized TlSe2BrF structure.

Cell lengths 4.458, 4.458, 7.045 Å; angles 90.00, 90.00, 90.00 degrees
Fractional coordinates of all 5 atoms:
F: 0.000 0.000 0.000
Tl: 0.500 0.500 0.500
Se: 0.500 0.000 0.000
Se: 0.000 0.500 0.000
Br: 0.000 0.000 0.500

The density of states at the Fermi level is 6.03 states/eV per cell. Its calculated total energy is -2.67 eV per atom. The offset from the most stable computed form comes out at 0.000 eV/atom. The value obtained for the uncorrected formation energy is -0.0915 eV per atom.